PBE CsMg4BiSb2, relaxed; crystal system = tetragonal; formation energy from raw total energies = -443 meV/atom
1.0
4.804 0.000 0.000
0.000 4.804 0.000
0.000 0.000 11.723
Bi Mg Sb Cs
1 4 2 1
Direct
0.000 0.000 0.000
0.500 0.000 0.838
0.000 0.500 0.162
0.500 0.000 0.162
0.000 0.500 0.838
0.500 0.500 0.294
0.500 0.500 0.706
0.000 0.000 0.500


PBE Sm4RhSe2Cl, relaxed; crystal system = monoclinic; formation energy from raw total energies = -1432 meV/atom
1.0
4.044 0.000 0.000
0.000 7.341 -0.220
0.000 2.516 6.772
Sm Rh Se Cl
4 1 2 1
Direct
0.500 0.732 0.273
0.500 0.268 0.727
0.000 0.249 0.262
0.000 0.751 0.738
0.000 0.500 0.500
0.500 0.000 0.500
0.000 0.000 0.000
0.500 0.500 0.000


PBE LuReO3, relaxed; crystal system = cubic; formation energy from raw total energies = -1523 meV/atom
1.0
3.955 0.000 0.000
0.000 3.955 0.000
0.000 0.000 3.955
Re O Lu
1 3 1
Direct
0.500 0.500 0.500
0.500 0.000 0.500
0.000 0.500 0.500
0.500 0.500 0.000
0.000 0.000 0.000


PBE ZnAgPd2, relaxed; E_tot = -3.885 eV per atom; crystal system = trigonal
1.0
2.882 0.000 0.000
1.441 2.496 0.000
1.441 0.832 8.707
Pd Ag Zn
2 1 1
Direct
0.257 0.257 0.230
0.743 0.743 0.770
0.500 0.500 0.500
0.000 0.000 0.000


PBE Tl2ZnH2, relaxed; crystal system = tetragonal; excess energy over the best structure of this formula in the dataset = 89 meV/atom
1.0
-1.558 7.163 -0.811
-6.913 -1.720 -1.912
-0.973 0.170 3.366
H Tl Zn
4 4 2
Direct
0.307 0.807 0.000
0.807 0.693 0.000
0.193 0.307 0.000
0.693 0.193 0.000
0.332 0.168 0.500
0.168 0.668 0.500
0.668 0.832 0.500
0.832 0.332 0.500
0.000 0.000 0.000
0.500 0.500 0.000


PBE SrIn3Pd2, relaxed; crystal system = trigonal; excess energy over the best structure of this formula in the dataset = 197 meV/atom
1.0
7.011 0.000 0.000
3.506 6.072 0.000
3.506 2.024 6.806
In Pd Sr
6 4 2
Direct
0.268 0.268 0.718
0.732 0.732 0.282
0.732 0.253 0.282
0.268 0.747 0.718
0.747 0.268 0.718
0.253 0.732 0.282
0.500 0.000 0.000
0.500 0.500 0.000
0.000 0.000 0.000
0.000 0.500 0.000
0.225 0.225 0.324
0.775 0.775 0.676


> Number 3 is which compound?

LuReO3